Al2CoNiSe | PBE | relaxed

abc: 4.826 4.826 4.220
angles: 90.00 90.00 90.00
Fractional coordinates of all 5 atoms:
Al 0.000 0.500 0.000
Al 0.500 0.000 0.000
Co 0.000 0.000 0.500
Ni 0.500 0.500 0.500
Se 0.000 0.000 0.000

Summary:
formation energy from raw total energies: 4.7 eV per formula unit